1.
Computed, not measured: Y5AlHg4 after structural relaxation at the PBE level of DFT. Values from VASP.

## Properties
spin magnetization = 0.000 μB/f.u.
calculated total energy = -4.215 eV per atom

Geometry as Quantum ESPRESSO input:
```
&SYSTEM
  ibrav = 0, nat = 10, ntyp = 3
/
ATOMIC_SPECIES
Y 88.91 Y.upf
Hg 200.59 Hg.upf
Al 26.98 Al.upf
ATOMIC_POSITIONS angstrom
Y 1.8522 1.8522 9.2745
Y 1.8522 1.8522 1.7714
Y 1.8522 1.8522 16.7777
Y 1.8522 1.8522 5.5165
Y 1.8522 1.8522 13.0326
Hg 0.0000 0.0000 14.9220
Hg 0.0000 0.0000 3.6271
Hg 0.0000 0.0000 11.1585
Hg 0.0000 0.0000 7.3906
Al 0.0000 0.0000 0.0000
CELL_PARAMETERS angstrom
3.7044 0.0000 0.0000
0.0000 3.7044 0.0000
0.0000 0.0000 18.5491
```

---

2.
Computed, not measured: YAlHg4 after structural relaxation at the PBE level of DFT. Values from VASP.

## Properties
spin magnetization = 0.000 μB/f.u.
calculated total energy = -1.841 eV per atom

Geometry as Quantum ESPRESSO input:
```
&SYSTEM
  ibrav = 0, nat = 6, ntyp = 3
/
ATOMIC_SPECIES
Hg 200.59 Hg.upf
Al 26.98 Al.upf
Y 88.91 Y.upf
ATOMIC_POSITIONS angstrom
Hg 3.1492 5.2481 5.2481
Hg 5.2481 3.1492 5.2481
Hg 5.2481 5.2481 3.1492
Hg 3.1492 3.1492 3.1492
Al 0.0000 0.0000 0.0000
Y 6.2980 6.2980 6.2980
CELL_PARAMETERS angstrom
0.0000 4.1986 4.1986
4.1986 0.0000 4.1986
4.1986 4.1986 0.0000
```

---

3.
Computed, not measured: YAl2Hg after structural relaxation at the PBE level of DFT. Values from VASP.

## Properties
spin magnetization = 0.000 μB/f.u.
calculated total energy = -3.692 eV per atom

Geometry as Quantum ESPRESSO input:
```
&SYSTEM
  ibrav = 0, nat = 4, ntyp = 3
/
ATOMIC_SPECIES
Hg 200.59 Hg.upf
Al 26.98 Al.upf
Y 88.91 Y.upf
ATOMIC_POSITIONS angstrom
Hg 4.9550 2.8607 2.0229
Al 0.0000 0.0000 0.0000
Al 2.4775 1.4304 1.0114
Y 7.4324 4.2911 3.0343
CELL_PARAMETERS angstrom
4.9550 0.0000 0.0000
2.4775 4.2911 0.0000
2.4775 1.4304 4.0457
```

---

4.
Computed, not measured: YAlHg after structural relaxation at the PBE level of DFT. Values from VASP.

## Properties
spin magnetization = 0.000 μB/f.u.
calculated total energy = -3.967 eV per atom

Geometry as Quantum ESPRESSO input:
```
&SYSTEM
  ibrav = 0, nat = 6, ntyp = 3
/
ATOMIC_SPECIES
Hg 200.59 Hg.upf
Al 26.98 Al.upf
Y 88.91 Y.upf
ATOMIC_POSITIONS angstrom
Hg 3.0404 1.0455 2.8293
Hg 2.6571 -2.8358 2.4990
Al 1.0158 -0.5427 3.5839
Al 2.8256 -4.0550 4.8815
Y 4.1259 -1.1138 4.9111
Y -0.2844 -3.4837 3.5542
CELL_PARAMETERS angstrom
-1.8558 -2.8074 3.1372
4.0025 -3.3965 2.7034
2.1394 5.0240 2.3850
```

---

5.
Computed, not measured: Y4Al3Hg after structural relaxation at the PBE level of DFT. Values from VASP.

## Properties
spin magnetization = 0.000 μB/f.u.
calculated total energy = -5.113 eV per atom

Geometry as Quantum ESPRESSO input:
```
&SYSTEM
  ibrav = 0, nat = 8, ntyp = 3
/
ATOMIC_SPECIES
Al 26.98 Al.upf
Y 88.91 Y.upf
Hg 200.59 Hg.upf
ATOMIC_POSITIONS angstrom
Al 1.8030 1.8030 7.4051
Al 1.8030 1.8030 3.7884
Al 1.8030 1.8030 11.0218
Y 0.0000 0.0000 1.9884
Y 0.0000 0.0000 5.6127
Y 0.0000 0.0000 9.1974
Y 0.0000 0.0000 12.8217
Hg 1.8030 1.8030 0.0000
CELL_PARAMETERS angstrom
3.6061 0.0000 0.0000
0.0000 3.6061 0.0000
0.0000 0.0000 14.8101
```

---

6.
Computed, not measured: YAl2Hg after structural relaxation at the PBE level of DFT. Values from VASP.

## Properties
spin magnetization = 0.000 μB/f.u.
calculated total energy = -3.803 eV per atom

Geometry as Quantum ESPRESSO input:
```
&SYSTEM
  ibrav = 0, nat = 4, ntyp = 3
/
ATOMIC_SPECIES
Hg 200.59 Hg.upf
Y 88.91 Y.upf
Al 26.98 Al.upf
ATOMIC_POSITIONS angstrom
Hg -1.0188 -1.7579 2.1778
Y -2.8909 -4.3440 1.7794
Al -2.1571 -1.7926 -0.3318
Al -2.3391 -2.7332 4.4498
CELL_PARAMETERS angstrom
-3.6772 -1.1017 -2.6096
1.3072 -3.0543 -0.5524
-2.6758 -1.9778 4.6054
```

---

7.
Computed, not measured: YAl2Hg after structural relaxation at the PBE level of DFT. Values from VASP.

## Properties
spin magnetization = 0.000 μB/f.u.
calculated total energy = -3.531 eV per atom

Geometry as Quantum ESPRESSO input:
```
&SYSTEM
  ibrav = 0, nat = 8, ntyp = 3
/
ATOMIC_SPECIES
Al 26.98 Al.upf
Y 88.91 Y.upf
Hg 200.59 Hg.upf
ATOMIC_POSITIONS angstrom
Al -2.7375 5.4935 5.8896
Al -2.9520 3.4261 1.1641
Al -2.1837 0.4951 3.5813
Al -6.4311 5.4944 7.0648
Y -3.1193 0.3879 0.6410
Y -3.5061 2.5300 5.4900
Hg 0.0000 0.0000 0.0000
Hg -3.6461 4.9246 3.3599
CELL_PARAMETERS angstrom
-3.2592 2.7825 -1.4892
-2.9793 -2.0067 2.7711
-0.9136 6.6788 7.5680
```

---

8.
Computed, not measured: Y3AlHg after structural relaxation at the PBE level of DFT. Values from VASP.

## Properties
spin magnetization = 0.001 μB/f.u.
calculated total energy = -5.027 eV per atom

Geometry as Quantum ESPRESSO input:
```
&SYSTEM
  ibrav = 0, nat = 10, ntyp = 3
/
ATOMIC_SPECIES
Al 26.98 Al.upf
Y 88.91 Y.upf
Hg 200.59 Hg.upf
ATOMIC_POSITIONS angstrom
Al 3.4083 3.8505 4.0669
Al 5.0685 1.2835 8.3172
Y 2.1524 1.2835 9.5627
Y 0.4836 3.8505 5.3496
Y 2.9914 1.2835 5.8914
Y 4.6413 3.8505 10.1866
Y 3.8355 1.2835 2.1974
Y 1.3226 3.8505 1.6783
Hg 0.9062 1.2835 3.5004
Hg 2.5687 3.8505 7.7406
CELL_PARAMETERS angstrom
5.0018 0.0000 1.1430
0.0000 5.1340 0.0000
0.2320 0.0000 10.4999
```